P) DFT (GGA+U) results for a relaxed structure of Sr2MnO3.

Computed properties:
density = 4.97 g/cm3
spin magnetization = 8.0 Bohr magnetons per cell

Cell: 3.578 4.014 12.955 Å, 90.00 90.00 90.00°
Element x y z (fractional)
Sr 0.000 0.000 0.149
Sr 0.000 0.000 0.851
Sr 0.500 0.500 0.351
Sr 0.500 0.500 0.649
Mn 0.000 0.000 0.500
Mn 0.500 0.500 0.000
O 0.000 0.000 0.343
O 0.000 0.000 0.657
O 0.000 0.500 0.500
O 0.500 0.000 0.000
O 0.500 0.500 0.157
O 0.500 0.500 0.843



Q) DFT (GGA+U) results for a relaxed structure of Sr2MnO3.

Computed properties:
density = 4.98 g/cm3
spin magnetization = 20.0 Bohr magnetons per cell

Cell: 7.699 3.532 13.650 Å, 90.00 90.00 90.00°
Element x y z (fractional)
Sr 0.120 0.250 0.223
Sr 0.182 0.250 0.940
Sr 0.318 0.750 0.440
Sr 0.380 0.750 0.723
Sr 0.620 0.250 0.277
Sr 0.682 0.250 0.560
Sr 0.818 0.750 0.060
Sr 0.880 0.750 0.777
Mn 0.088 0.250 0.600
Mn 0.412 0.750 0.100
Mn 0.588 0.250 0.900
Mn 0.912 0.750 0.400
O 0.070 0.250 0.411
O 0.133 0.250 0.757
O 0.144 0.750 0.070
O 0.356 0.250 0.570
O 0.367 0.750 0.257
O 0.430 0.750 0.911
O 0.570 0.250 0.089
O 0.633 0.250 0.743
O 0.644 0.750 0.430
O 0.856 0.250 0.930
O 0.867 0.750 0.243
O 0.930 0.750 0.589



Which of them is the most stable? Correct choice: Q).



P) DFT (GGA+U) results for a relaxed structure of Sr2Mn2O5.

Computed properties:
density = 5.07 g/cm3
spin magnetization = 16.0 Bohr magnetons per cell

Cell: 5.624 11.026 3.856 Å, 90.00 90.00 90.00°
Element x y z (fractional)
Sr 0.214 0.133 0.000
Sr 0.286 0.633 0.000
Sr 0.714 0.367 0.000
Sr 0.786 0.867 0.000
Mn 0.241 0.376 0.500
Mn 0.259 0.876 0.500
Mn 0.741 0.124 0.500
Mn 0.759 0.624 0.500
O 0.000 0.000 0.500
O 0.031 0.729 0.500
O 0.202 0.401 0.000
O 0.298 0.901 0.000
O 0.469 0.229 0.500
O 0.500 0.500 0.500
O 0.531 0.771 0.500
O 0.702 0.099 0.000
O 0.798 0.599 0.000
O 0.969 0.271 0.500



Q) DFT (GGA+U) results for a relaxed structure of Sr2Mn2O5.

Computed properties:
density = 4.99 g/cm3
spin magnetization = 8.0 Bohr magnetons per cell

Cell: 3.934 3.934 7.848 Å, 90.00 90.00 90.00°
Element x y z (fractional)
Sr 0.000 0.000 0.000
Sr 0.000 0.000 0.500
Mn 0.500 0.500 0.250
Mn 0.500 0.500 0.750
O 0.000 0.500 0.216
O 0.000 0.500 0.784
O 0.500 0.000 0.216
O 0.500 0.000 0.784
O 0.500 0.500 0.500



R) DFT (GGA+U) results for a relaxed structure of Sr2Mn2O5.

Computed properties:
density = 4.79 g/cm3
spin magnetization = 16.0 Bohr magnetons per cell

Cell: 9.100 9.100 9.100 Å, 51.11 144.43 144.53°
Element x y z (fractional)
Sr 0.008 0.108 0.117
Sr 0.008 0.392 0.400
Sr 0.992 0.608 0.600
Sr 0.992 0.892 0.883
Mn 0.476 0.791 0.185
Mn 0.500 0.000 0.500
Mn 0.500 0.500 0.000
Mn 0.607 0.291 0.815
O 0.000 0.254 0.751
O 0.000 0.749 0.246
O 0.477 0.133 0.622
O 0.477 0.355 0.844
O 0.503 0.249 0.249
O 0.503 0.754 0.754
O 0.511 0.633 0.156
O 0.511 0.855 0.378
O 0.781 0.137 0.143
O 0.994 0.637 0.857



S) DFT (GGA+U) results for a relaxed structure of Sr2Mn2O5.

Computed properties:
density = 5.01 g/cm3
spin magnetization = 8.0 Bohr magnetons per cell

Cell: 5.693 5.693 3.734 Å, 90.00 90.00 90.00°
Element x y z (fractional)
Sr 0.000 0.500 0.000
Sr 0.500 0.000 0.000
Mn 0.000 0.000 0.500
Mn 0.500 0.500 0.500
O 0.000 0.000 0.000
O 0.263 0.263 0.500
O 0.263 0.737 0.500
O 0.737 0.263 0.500
O 0.737 0.737 0.500



Which of them is the most stable? Correct choice: P).



P) DFT (GGA+U) results for a relaxed structure of TbMn2O6.

Computed properties:
density = 6.40 g/cm3
spin magnetization = 5.0 Bohr magnetons per cell

Cell: 6.024 6.024 3.010 Å, 90.00 90.00 120.00°
Element x y z (fractional)
Tb 0.000 0.000 0.000
Mn 0.333 0.667 0.802
Mn 0.667 0.333 0.198
O 0.125 0.724 0.280
O 0.276 0.401 0.280
O 0.401 0.125 0.720
O 0.599 0.875 0.280
O 0.724 0.599 0.720
O 0.875 0.276 0.720



Q) DFT (GGA+U) results for a relaxed structure of TbMn2O6.

Computed properties:
density = 5.68 g/cm3
spin magnetization = 5.0 Bohr magnetons per cell

Cell: 5.012 5.012 4.905 Å, 90.00 90.00 120.00°
Element x y z (fractional)
Tb 0.000 0.000 0.000
Mn 0.333 0.667 0.500
Mn 0.667 0.333 0.500
O 0.000 0.366 0.716
O 0.000 0.634 0.284
O 0.366 0.000 0.716
O 0.366 0.366 0.284
O 0.634 0.000 0.284
O 0.634 0.634 0.716



Which of them is the most stable? Correct choice: Q).



P) DFT (GGA+U) results for a relaxed structure of Mn3TcO.

Computed properties:
density = 3.84 g/cm3
spin magnetization = 12.1 Bohr magnetons per cell

Cell: 4.942 4.942 4.942 Å, 90.00 90.00 90.00°
Element x y z (fractional)
Mn 0.000 0.000 0.500
Mn 0.000 0.500 0.000
Mn 0.500 0.000 0.000
Tc 0.000 0.000 0.000
O 0.500 0.500 0.500



Q) DFT (GGA+U) results for a relaxed structure of Mn3TcO.

Computed properties:
density = 6.18 g/cm3
spin magnetization = 12.7 Bohr magnetons per cell

Cell: 4.216 4.216 4.216 Å, 90.00 90.00 90.00°
Element x y z (fractional)
Mn 0.000 0.000 0.500
Mn 0.000 0.500 0.000
Mn 0.500 0.000 0.000
Tc 0.500 0.500 0.500
O 0.000 0.000 0.000



Which of them is the most stable? Correct choice: Q).



P) DFT (GGA+U) results for a relaxed structure of MnTe2O6.

Computed properties:
density = 4.22 g/cm3
spin magnetization = 10.0 Bohr magnetons per cell

Cell: 7.226 7.226 6.183 Å, 95.33 95.33 92.13°
Element x y z (fractional)
Mn 0.079 0.921 0.750
Mn 0.921 0.079 0.250
Te 0.189 0.395 0.565
Te 0.395 0.189 0.065
Te 0.605 0.811 0.935
Te 0.811 0.605 0.435
O 0.019 0.587 0.693
O 0.066 0.163 0.574
O 0.163 0.066 0.074
O 0.346 0.377 0.846
O 0.377 0.346 0.346
O 0.413 0.981 0.807
O 0.587 0.019 0.193
O 0.623 0.654 0.654
O 0.654 0.623 0.154
O 0.837 0.934 0.926
O 0.934 0.837 0.426
O 0.981 0.413 0.307



Q) DFT (GGA+U) results for a relaxed structure of MnTe2O6.

Computed properties:
density = 5.15 g/cm3
spin magnetization = 4.8 Bohr magnetons per cell

Cell: 5.483 5.483 7.266 Å, 113.62 113.62 41.55°
Element x y z (fractional)
Mn 0.000 0.000 0.000
Te 0.184 0.184 0.663
Te 0.816 0.816 0.337
O 0.025 0.025 0.727
O 0.310 0.310 0.408
O 0.353 0.353 0.908
O 0.647 0.647 0.092
O 0.690 0.690 0.592
O 0.975 0.975 0.273



Which of them is the most stable? Correct choice: P).



P) DFT (GGA+U) results for a relaxed structure of Mn3TeO.

Computed properties:
density = 5.64 g/cm3
spin magnetization = 14.0 Bohr magnetons per cell

Cell: 4.496 4.496 4.496 Å, 90.00 90.00 90.00°
Element x y z (fractional)
Mn 0.000 0.000 0.500
Mn 0.000 0.500 0.000
Mn 0.500 0.000 0.000
Te 0.500 0.500 0.500
O 0.000 0.000 0.000



Q) DFT (GGA+U) results for a relaxed structure of Mn3TeO.

Computed properties:
density = 3.64 g/cm3
spin magnetization = 14.1 Bohr magnetons per cell

Cell: 5.200 5.200 5.200 Å, 90.00 90.00 90.00°
Element x y z (fractional)
Mn 0.000 0.000 0.500
Mn 0.000 0.500 0.000
Mn 0.500 0.000 0.000
Te 0.000 0.000 0.000
O 0.500 0.500 0.500



Which of them is the most stable? Correct choice: P).



P) DFT (GGA+U) results for a relaxed structure of Mn3TeO6.

Computed properties:
density = 5.09 g/cm3
spin magnetization = 30.0 Bohr magnetons per cell

Cell: 6.328 6.328 6.328 Å, 90.61 90.61 90.61°
Element x y z (fractional)
Mn 0.052 0.562 0.749
Mn 0.251 0.948 0.438
Mn 0.438 0.251 0.948
Mn 0.562 0.749 0.052
Mn 0.749 0.052 0.562
Mn 0.948 0.438 0.251
Te 0.000 0.000 0.000
Te 0.500 0.500 0.500
O 0.045 0.916 0.705
O 0.084 0.295 0.955
O 0.205 0.569 0.435
O 0.295 0.955 0.084
O 0.431 0.565 0.795
O 0.435 0.205 0.569
O 0.565 0.795 0.431
O 0.569 0.435 0.205
O 0.705 0.045 0.916
O 0.795 0.431 0.565
O 0.916 0.705 0.045
O 0.955 0.084 0.295



Q) DFT (GGA+U) results for a relaxed structure of Mn3TeO6.

Computed properties:
density = 4.68 g/cm3
spin magnetization = 30.0 Bohr magnetons per cell

Cell: 6.506 6.506 6.506 Å, 89.79 89.79 89.79°
Element x y z (fractional)
Mn 0.015 0.750 0.485
Mn 0.250 0.515 0.985
Mn 0.485 0.015 0.750
Mn 0.515 0.985 0.250
Mn 0.750 0.485 0.015
Mn 0.985 0.250 0.515
Te 0.000 0.000 0.000
Te 0.500 0.500 0.500
O 0.011 0.299 0.981
O 0.019 0.989 0.701
O 0.201 0.489 0.519
O 0.299 0.981 0.011
O 0.481 0.799 0.511
O 0.489 0.519 0.201
O 0.511 0.481 0.799
O 0.519 0.201 0.489
O 0.701 0.019 0.989
O 0.799 0.511 0.481
O 0.981 0.011 0.299
O 0.989 0.701 0.019



Which of them is the most stable? Correct choice: P).



P) DFT (GGA+U) results for a relaxed structure of Mn3TeO6.

Computed properties:
density = 5.47 g/cm3
spin magnetization = 30.0 Bohr magnetons per cell

Cell: 5.366 5.524 9.571 Å, 90.00 123.75 90.00°
Element x y z (fractional)
Mn 0.000 0.000 0.000
Mn 0.000 0.500 0.500
Mn 0.225 0.046 0.738
Mn 0.225 0.454 0.238
Mn 0.775 0.546 0.762
Mn 0.775 0.954 0.262
Te 0.500 0.000 0.500
Te 0.500 0.500 0.000
O 0.147 0.180 0.449
O 0.147 0.320 0.949
O 0.243 0.711 0.414
O 0.243 0.789 0.914
O 0.401 0.080 0.273
O 0.401 0.420 0.773
O 0.599 0.580 0.227
O 0.599 0.920 0.727
O 0.757 0.211 0.086
O 0.757 0.289 0.586
O 0.853 0.680 0.051
O 0.853 0.820 0.551



Q) DFT (GGA+U) results for a relaxed structure of Mn3TeO6.

Computed properties:
density = 5.30 g/cm3
spin magnetization = 15.0 Bohr magnetons per cell

Cell: 5.704 5.704 5.704 Å, 56.88 56.88 56.88°
Element x y z (fractional)
Mn 0.000 0.000 0.000
Mn 0.217 0.217 0.217
Mn 0.725 0.725 0.725
Te 0.512 0.512 0.512
O 0.154 0.768 0.403
O 0.310 0.614 0.876
O 0.403 0.154 0.768
O 0.614 0.876 0.310
O 0.768 0.403 0.154
O 0.876 0.310 0.614



Which of them is the most stable? Correct choice: Q).



P) DFT (GGA+U) results for a relaxed structure of MnTeO4.

Computed properties:
density = 5.53 g/cm3
spin magnetization = 10.0 Bohr magnetons per cell

Cell: 5.801 4.831 5.670 Å, 90.00 111.23 90.00°
Element x y z (fractional)
Mn 0.000 0.000 0.000
Mn 0.000 0.500 0.500
Te 0.500 0.000 0.500
Te 0.500 0.500 0.000
O 0.184 0.170 0.374
O 0.184 0.330 0.874
O 0.360 0.727 0.681
O 0.360 0.773 0.181
O 0.640 0.227 0.819
O 0.640 0.273 0.319
O 0.816 0.670 0.126
O 0.816 0.830 0.626



Q) DFT (GGA+U) results for a relaxed structure of MnTeO4.

Computed properties:
density = 5.47 g/cm3
spin magnetization = 4.8 Bohr magnetons per cell

Cell: 4.864 3.166 4.876 Å, 90.00 95.15 90.00°
Element x y z (fractional)
Mn 0.000 0.000 0.000
Te 0.500 0.500 0.500
O 0.207 0.500 0.206
O 0.319 0.000 0.679
O 0.681 0.000 0.321
O 0.793 0.500 0.794



Which of them is the most stable? Correct choice: P).